No. 1
{"formula": "K2Zn", "functional": "PBEsol", "state": "relaxed", "cell": [[-2.0628, 2.0628, 7.7178], [2.0628, -2.0628, 7.7178], [2.0628, 2.0628, -7.7178]], "species": ["K", "K", "Zn"], "fractional_positions": [[0.1318, 0.1318, 0.0000], [0.8682, 0.8682, 0.0000], [0.5000, 0.5000, 0.0000]], "spacegroup": "I4/mmm (139)", "ef_kj_per_mol_atoms": 20, "final_energy_ev_per_atom": -1.07, "magnetic_moment_mub_per_fu": 0.0}

***

No. 2
{"formula": "Ti2N", "functional": "PBEsol", "state": "relaxed", "cell": [[-2.0556, 2.0556, 4.3878], [2.0556, -2.0556, 4.3878], [2.0556, 2.0556, -4.3878]], "species": ["Ti", "Ti", "Ti", "Ti", "N", "N"], "fractional_positions": [[0.1066, 0.3566, 0.7500], [0.3566, 0.1066, 0.2500], [0.6434, 0.8934, 0.7500], [0.8934, 0.6434, 0.2500], [0.1250, 0.8750, 0.2500], [0.8750, 0.1250, 0.7500]], "spacegroup": "I4_1/amd (141)", "final_energy_ev_per_atom": -9.84, "magnetic_moment_mub_per_fu": 0.0, "formation_energy_uncorrected_ev_per_atom": -1.45}

***

No. 3
{"formula": "NdCu4Ag", "functional": "PBEsol", "state": "relaxed", "cell": [[0.0000, 3.5573, 3.5573], [3.5573, 0.0000, 3.5573], [3.5573, 3.5573, 0.0000]], "species": ["Nd", "Cu", "Cu", "Cu", "Cu", "Ag"], "fractional_positions": [[0.0000, 0.0000, 0.0000], [0.1297, 0.6234, 0.6234], [0.6234, 0.1297, 0.6234], [0.6234, 0.6234, 0.1297], [0.6234, 0.6234, 0.6234], [0.2500, 0.2500, 0.2500]], "spacegroup": "F-43m (216)", "ef_kj_per_mol_atoms": -18, "final_energy_ev_per_atom": -4.49, "magnetic_moment_mub_per_fu": 0.0}

***

No. 4
{"formula": "CuAgO3", "functional": "PBEsol", "state": "relaxed", "cell": [[3.9178, 0.0000, 0.0000], [0.0000, 3.9178, 0.0000], [0.0000, 0.0000, 3.9178]], "species": ["Cu", "Ag", "O", "O", "O"], "fractional_positions": [[0.0000, 0.0000, 0.0000], [0.5000, 0.5000, 0.5000], [0.0000, 0.5000, 0.5000], [0.5000, 0.0000, 0.5000], [0.5000, 0.5000, 0.0000]], "spacegroup": "Pm-3m (221)", "final_energy_ev_per_atom": -3.97, "magnetic_moment_mub_per_fu": 1.4, "formation_energy_uncorrected_ev_per_atom": 0.71}

***

No. 5
{"formula": "CrAs2Au", "functional": "PBEsol", "state": "relaxed", "cell": [[-1.9342, 1.9342, 4.4193], [1.9342, -1.9342, 4.4193], [1.9342, 1.9342, -4.4193]], "species": ["Cr", "As", "As", "Au"], "fractional_positions": [[0.0000, 0.0000, 0.0000], [0.5000, 0.5000, 0.0000], [0.7500, 0.2500, 0.5000], [0.2500, 0.7500, 0.5000]], "spacegroup": "I-4m2 (119)", "ef_kj_per_mol_atoms": 24, "final_energy_ev_per_atom": -5.85, "magnetic_moment_mub_per_fu": 3.3}

***

No. 6
{"formula": "Nb3Ga2", "functional": "PBEsol", "state": "relaxed", "cell": [[6.8741, 0.0000, 0.0000], [0.0000, 6.8741, 0.0000], [0.0000, 0.0000, 3.4859]], "species": ["Nb", "Nb", "Nb", "Nb", "Nb", "Nb", "Ga", "Ga", "Ga", "Ga"], "fractional_positions": [[0.0000, 0.0000, 0.0000], [0.1754, 0.3246, 0.5000], [0.3246, 0.8246, 0.5000], [0.5000, 0.5000, 0.0000], [0.6754, 0.1754, 0.5000], [0.8246, 0.6754, 0.5000], [0.1258, 0.6258, 0.0000], [0.3742, 0.1258, 0.0000], [0.6258, 0.8742, 0.0000], [0.8742, 0.3742, 0.0000]], "spacegroup": "P4/mbm (127)", "ef_kj_per_mol_atoms": -40, "final_energy_ev_per_atom": -8.24, "magnetic_moment_mub_per_fu": 0.0}

***

No. 7
{"formula": "SrTcNi2", "functional": "PBEsol", "state": "relaxed", "cell": [[-2.0877, 2.5579, 3.2319], [2.0877, -2.5579, 3.2319], [2.0877, 2.5579, -3.2319]], "species": ["Sr", "Tc", "Ni", "Ni"], "fractional_positions": [[0.0000, 0.0000, 0.0000], [0.5000, 0.5000, 0.0000], [0.3091, 0.8091, 0.5000], [0.6909, 0.1909, 0.5000]], "spacegroup": "Immm (71)", "ef_kj_per_mol_atoms": 70, "final_energy_ev_per_atom": -5.63, "magnetic_moment_mub_per_fu": 0.5}

***

No. 8
{"formula": "MoPRh2", "functional": "PBEsol", "state": "relaxed", "cell": [[2.6032, -3.7777, 0.0000], [2.6032, 3.7777, 0.0000], [0.0000, 0.0000, 2.7643]], "species": ["Mo", "P", "Rh", "Rh"], "fractional_positions": [[0.0000, 0.0000, 0.0000], [0.5000, 0.5000, 0.0000], [0.0000, 0.5000, 0.5000], [0.5000, 0.0000, 0.5000]], "spacegroup": "Cmmm (65)", "ef_kj_per_mol_atoms": -9, "final_energy_ev_per_atom": -8.55, "magnetic_moment_mub_per_fu": 0.0}

***

No. 9
{"formula": "SrSb2", "functional": "PBEsol", "state": "relaxed", "cell": [[-2.2603, 2.2603, 17.6071], [2.2603, -2.2603, 17.6071], [2.2603, 2.2603, -17.6071]], "species": ["Sr", "Sr", "Sr", "Sr", "Sb", "Sb", "Sb", "Sb", "Sb", "Sb", "Sb", "Sb"], "fractional_positions": [[0.3031, 0.5531, 0.7500], [0.4469, 0.6969, 0.7500], [0.5531, 0.3031, 0.2500], [0.6969, 0.4469, 0.2500], [0.0274, 0.7774, 0.2500], [0.1233, 0.3733, 0.7500], [0.2226, 0.9726, 0.2500], [0.3733, 0.1233, 0.2500], [0.6267, 0.8767, 0.7500], [0.7774, 0.0274, 0.7500], [0.8767, 0.6267, 0.2500], [0.9726, 0.2226, 0.7500]], "spacegroup": "I4_1/amd (141)", "final_energy_ev_per_atom": -4.32, "magnetic_moment_mub_per_fu": 0.0, "formation_energy_uncorrected_ev_per_atom": -0.67}

***

No. 10
{"formula": "TaTcAu", "functional": "PBEsol", "state": "relaxed", "cell": [[-1.3954, 1.3954, 6.1827], [1.3954, -1.3954, 6.1827], [1.3954, 1.3954, -6.1827]], "species": ["Ta", "Tc", "Au"], "fractional_positions": [[0.0000, 0.0000, 0.0000], [0.6618, 0.6618, 0.0000], [0.3276, 0.3276, 0.0000]], "spacegroup": "I4mm (107)", "ef_kj_per_mol_atoms": 13, "final_energy_ev_per_atom": -9.11, "magnetic_moment_mub_per_fu": 0.0}

***

No. 11
{"formula": "Mg2TlCd", "functional": "PBEsol", "state": "relaxed", "cell": [[-2.1843, 2.1843, 4.7074], [2.1843, -2.1843, 4.7074], [2.1843, 2.1843, -4.7074]], "species": ["Mg", "Mg", "Tl", "Cd"], "fractional_positions": [[0.0000, 0.0000, 0.0000], [0.7500, 0.2500, 0.5000], [0.5000, 0.5000, 0.0000], [0.2500, 0.7500, 0.5000]], "spacegroup": "I-4m2 (119)", "ef_kj_per_mol_atoms": -6, "final_energy_ev_per_atom": -1.88, "magnetic_moment_mub_per_fu": 0.0}

***

No. 12
{"formula": "In2PRh", "functional": "PBEsol", "state": "relaxed", "cell": [[-2.0237, 2.0237, 4.2901], [2.0237, -2.0237, 4.2901], [2.0237, 2.0237, -4.2901]], "species": ["In", "In", "P", "Rh"], "fractional_positions": [[0.0000, 0.0000, 0.0000], [0.7500, 0.2500, 0.5000], [0.5000, 0.5000, 0.0000], [0.2500, 0.7500, 0.5000]], "spacegroup": "I-4m2 (119)", "ef_kj_per_mol_atoms": 9, "final_energy_ev_per_atom": -4.88, "magnetic_moment_mub_per_fu": 0.0}

***

No. 13
{"formula": "MgZr2Au", "functional": "PBEsol", "state": "relaxed", "cell": [[0.0000, 3.4170, 3.4170], [3.4170, 0.0000, 3.4170], [3.4170, 3.4170, 0.0000]], "species": ["Mg", "Zr", "Zr", "Au"], "fractional_positions": [[0.0000, 0.0000, 0.0000], [0.5000, 0.5000, 0.5000], [0.7500, 0.7500, 0.7500], [0.2500, 0.2500, 0.2500]], "spacegroup": "F-43m (216)", "ef_kj_per_mol_atoms": -3, "final_energy_ev_per_atom": -5.98, "magnetic_moment_mub_per_fu": 3.0}

***

No. 14
{"formula": "HgSb", "functional": "PBEsol", "state": "relaxed", "cell": [[-1.9879, 2.1783, 5.9939], [1.9879, -2.1783, 5.9939], [1.9879, 2.1783, -5.9939]], "species": ["Hg", "Hg", "Sb", "Sb"], "fractional_positions": [[0.3421, 0.0921, 0.2500], [0.6579, 0.9079, 0.7500], [0.0933, 0.3433, 0.7500], [0.9067, 0.6567, 0.2500]], "spacegroup": "Imma (74)", "final_energy_ev_per_atom": -2.46, "magnetic_moment_mub_per_fu": 0.0, "formation_energy_uncorrected_ev_per_atom": 0.10}

***

No. 15
{"formula": "NbPBr2", "functional": "PBEsol", "state": "relaxed", "cell": [[-4.6815, 4.6815, 2.3859], [4.6815, -4.6815, 2.3859], [4.6815, 4.6815, -2.3859]], "species": ["Nb", "Nb", "P", "P", "Br", "Br", "Br", "Br"], "fractional_positions": [[0.0000, 0.0000, 0.0000], [0.7500, 0.2500, 0.5000], [0.2500, 0.7500, 0.5000], [0.5000, 0.5000, 0.0000], [0.3750, 0.0144, 0.1394], [0.7644, 0.6250, 0.6394], [0.8750, 0.2356, 0.8606], [0.9856, 0.1250, 0.3606]], "spacegroup": "I-42d (122)", "final_energy_ev_per_atom": -5.18, "magnetic_moment_mub_per_fu": 0.3, "formation_energy_uncorrected_ev_per_atom": -0.09}

***

No. 16
{"formula": "CaLaAgBi2", "functional": "PBEsol", "state": "relaxed", "cell": [[5.6163, 0.0000, 0.0000], [0.0000, 5.6163, 0.0000], [0.0000, 0.0000, 5.1824]], "species": ["Ca", "La", "Ag", "Bi", "Bi"], "fractional_positions": [[0.0000, 0.0000, 0.0000], [0.5000, 0.5000, 0.5000], [0.0000, 0.0000, 0.5000], [0.0000, 0.5000, 0.0000], [0.5000, 0.0000, 0.0000]], "spacegroup": "P4/mmm (123)", "ef_kj_per_mol_atoms": 6, "final_energy_ev_per_atom": -3.81, "magnetic_moment_mub_per_fu": 0.0}

***

No. 17
{"formula": "KZr2Mo", "functional": "PBEsol", "state": "relaxed", "cell": [[3.4559, 0.0000, 0.0000], [0.0000, 3.4559, 0.0000], [0.0000, 0.0000, 8.8516]], "species": ["K", "Zr", "Zr", "Mo"], "fractional_positions": [[0.0000, 0.0000, 0.0000], [0.0000, 0.0000, 0.4405], [0.5000, 0.5000, 0.6285], [0.5000, 0.5000, 0.3074]], "spacegroup": "P4mm (99)", "ef_kj_per_mol_atoms": 64, "final_energy_ev_per_atom": -7.10, "magnetic_moment_mub_per_fu": 0.0}

***

No. 18
{"formula": "ZrH7CN4F5", "functional": "PBEsol", "state": "relaxed", "cell": [[6.6559, 0.0000, 0.0000], [0.0000, 6.9032, 0.0000], [0.0000, 0.0000, 15.8409]], "species": ["Zr", "Zr", "Zr", "Zr", "H", "H", "H", "H", "H", "H", "H", "H", "H", "H", "H", "H", "H", "H", "H", "H", "H", "H", "H", "H", "H", "H", "H", "H", "H", "H", "H", "H", "C", "C", "C", "C", "N", "N", "N", "N", "N", "N", "N", "N", "N", "N", "N", "N", "N", "N", "N", "N", "F", "F", "F", "F", "F", "F", "F", "F", "F", "F", "F", "F", "F", "F", "F", "F", "F", "F", "F", "F"], "fractional_positions": [[0.0478, 0.2500, 0.2079], [0.4522, 0.7500, 0.7079], [0.5478, 0.2500, 0.2921], [0.9522, 0.7500, 0.7921], [0.0664, 0.2500, 0.6851], [0.0854, 0.2500, 0.4261], [0.1045, 0.7500, 0.0077], [0.1261, 0.7500, 0.1186], [0.1428, 0.7500, 0.5162], [0.2342, 0.1306, 0.8469], [0.2342, 0.3694, 0.8469], [0.2658, 0.6306, 0.3469], [0.2658, 0.8694, 0.3469], [0.3572, 0.2500, 0.0162], [0.3739, 0.2500, 0.6186], [0.3955, 0.2500, 0.5077], [0.4146, 0.7500, 0.9261], [0.4336, 0.7500, 0.1851], [0.5664, 0.2500, 0.8149], [0.5854, 0.2500, 0.0739], [0.6045, 0.7500, 0.4923], [0.6261, 0.7500, 0.3814], [0.6428, 0.7500, 0.9838], [0.7342, 0.1306, 0.6531], [0.7342, 0.3694, 0.6531], [0.7658, 0.6306, 0.1531], [0.7658, 0.8694, 0.1531], [0.8572, 0.2500, 0.4838], [0.8739, 0.2500, 0.8814], [0.8955, 0.2500, 0.9923], [0.9146, 0.7500, 0.5739], [0.9336, 0.7500, 0.3149], [0.1070, 0.2500, 0.5557], [0.3930, 0.7500, 0.0557], [0.6070, 0.2500, 0.9443], [0.8930, 0.7500, 0.4443], [0.0017, 0.7500, 0.3728], [0.0108, 0.2500, 0.4823], [0.1935, 0.7500, 0.0608], [0.2097, 0.7500, 0.3776], [0.2903, 0.2500, 0.8776], [0.3065, 0.2500, 0.5608], [0.4892, 0.7500, 0.9823], [0.4983, 0.2500, 0.8728], [0.5017, 0.7500, 0.1272], [0.5108, 0.2500, 0.0177], [0.6935, 0.7500, 0.4392], [0.7097, 0.7500, 0.1224], [0.7903, 0.2500, 0.6224], [0.8065, 0.2500, 0.9392], [0.9892, 0.7500, 0.5177], [0.9983, 0.2500, 0.6272], [0.0318, 0.5361, 0.2162], [0.0318, 0.9639, 0.2162], [0.0494, 0.2500, 0.0834], [0.1438, 0.7500, 0.6822], [0.2320, 0.2500, 0.3221], [0.2680, 0.7500, 0.8221], [0.3562, 0.2500, 0.1822], [0.4506, 0.7500, 0.5834], [0.4682, 0.0361, 0.7162], [0.4682, 0.4639, 0.7162], [0.5318, 0.5361, 0.2838], [0.5318, 0.9639, 0.2838], [0.5494, 0.2500, 0.4166], [0.6438, 0.7500, 0.8178], [0.7320, 0.2500, 0.1779], [0.7680, 0.7500, 0.6779], [0.8562, 0.2500, 0.3178], [0.9506, 0.7500, 0.9166], [0.9682, 0.0361, 0.7838], [0.9682, 0.4639, 0.7838]], "spacegroup": "Pnma (62)", "final_energy_ev_per_atom": -6.19, "magnetic_moment_mub_per_fu": 0.1}

***

No. 19
{"formula": "YNiSe2", "functional": "PBEsol", "state": "relaxed", "cell": [[0.0000, 3.3363, 3.3363], [3.3363, 0.0000, 3.3363], [3.3363, 3.3363, 0.0000]], "species": ["Y", "Ni", "Se", "Se"], "fractional_positions": [[0.0000, 0.0000, 0.0000], [0.2500, 0.2500, 0.2500], [0.5000, 0.5000, 0.5000], [0.7500, 0.7500, 0.7500]], "spacegroup": "F-43m (216)", "final_energy_ev_per_atom": -5.55, "magnetic_moment_mub_per_fu": 0.0, "formation_energy_uncorrected_ev_per_atom": -0.38}

***

No. 20
{"formula": "CuSe3I", "functional": "PBEsol", "state": "relaxed", "cell": [[6.9509, 4.0131, 4.6697], [-6.9509, 4.0131, 4.6697], [0.0000, -8.0262, 4.6697]], "species": ["Cu", "Cu", "Cu", "Cu", "Cu", "Cu", "Se", "Se", "Se", "Se", "Se", "Se", "Se", "Se", "Se", "Se", "Se", "Se", "Se", "Se", "Se", "Se", "Se", "Se", "I", "I", "I", "I", "I", "I"], "fractional_positions": [[0.1047, 0.1047, 0.6010], [0.1047, 0.6010, 0.1047], [0.3990, 0.8953, 0.8953], [0.6010, 0.1047, 0.1047], [0.8953, 0.3990, 0.8953], [0.8953, 0.8953, 0.3990], [0.1207, 0.3896, 0.3896], [0.1289, 0.1289, 0.8624], [0.1289, 0.8624, 0.1289], [0.1376, 0.8711, 0.8711], [0.2889, 0.2889, 0.5514], [0.2889, 0.5514, 0.2889], [0.3896, 0.1207, 0.3896], [0.3896, 0.3896, 0.1207], [0.4486, 0.7111, 0.7111], [0.5514, 0.2889, 0.2889], [0.6104, 0.6104, 0.8793], [0.6104, 0.8793, 0.6104], [0.7111, 0.4486, 0.7111], [0.7111, 0.7111, 0.4486], [0.8624, 0.1289, 0.1289], [0.8711, 0.1376, 0.8711], [0.8711, 0.8711, 0.1376], [0.8793, 0.6104, 0.6104], [0.1563, 0.5000, 0.8437], [0.1563, 0.8437, 0.5000], [0.5000, 0.1563, 0.8437], [0.5000, 0.8437, 0.1563], [0.8437, 0.1563, 0.5000], [0.8437, 0.5000, 0.1563]], "spacegroup": "R-3m (166)", "final_energy_ev_per_atom": -3.61, "magnetic_moment_mub_per_fu": 0.0, "formation_energy_uncorrected_ev_per_atom": -0.08}